# 1
Entry from the Alexandria database: crystalline ErMgCu10 at its relaxed geometry (GGA-PBE).

Summary:
Total DFT energy (no corrections)   -4.04 eV per atom
ρ   7916 kg/m3
Formation energy   -0.11 eV per atom

Lattice parameters (Å, degrees): 4.0785 4.9599 8.5761 90.00 90.00 90.00
Last column: nearest neighbours and their distance in Å.
Sites, in units of the cell vectors:
1 Cu 0.0000 0.5000 0.1765  6 Cu 2.47-2.54
2 Cu 0.5000 0.0000 0.5000  8 Cu 2.45-2.47
3 Cu 0.0000 0.0000 0.6587  7 Cu 2.45-2.72
4 Cu 0.5000 0.2483 0.7502  8 Cu 2.46-2.51
5 Cu 0.0000 0.5000 0.8235  6 Cu 2.47-2.54
6 Cu 0.5000 0.2483 0.2498  8 Cu 2.46-2.51
7 Cu 0.5000 0.7517 0.7502  8 Cu 2.46-2.51
8 Cu 0.0000 0.0000 0.3413  7 Cu 2.45-2.72
9 Er 0.0000 0.0000 0.0000  18 Cu 2.91-3.21
10 Mg 0.0000 0.5000 0.5000  6 Cu 2.77-2.83
11 Cu 0.5000 0.7517 0.2498  8 Cu 2.46-2.51
12 Cu 0.5000 0.5000 0.0000  8 Cu 2.48-2.54

---

# 2
Entry from the Alexandria database: crystalline MnPBr2 at its relaxed geometry (GGA-PBE).

Summary:
Uncorrected formation energy   0.683 eV per atom
Total DFT energy (no corrections)   -3.80 eV per atom
Energy relative to the lowest polymorph listed for this composition   86.5 kJ per mole of atoms
ρ   4828 kg/m3

Lattice parameters (Å, degrees): 4.9259 4.9259 4.9259 60.00 60.00 60.00
Last column: nearest neighbours and their distance in Å.
Sites, in units of the cell vectors:
1 Mn 0.5000 0.5000 0.5000  4 P 3.02, 4 Br 3.02
2 Br 0.0000 0.0000 0.0000  4 Br 3.02, 4 P 3.02
3 P 0.7500 0.7500 0.7500  4 Mn 3.02, 4 Br 3.02
4 Br 0.2500 0.2500 0.2500  4 Mn 3.02, 4 Br 3.02

---

# 3
Entry from the Alexandria database: crystalline CoW2Cl at its relaxed geometry (GGA-PBE).

Summary:
Uncorrected formation energy   0.471 eV per atom
Total DFT energy (no corrections)   -8.24 eV per atom
Energy relative to the lowest polymorph listed for this composition   9.3 kJ per mole of atoms
ρ   12521 kg/m3

Lattice parameters (Å, degrees): 2.8260 2.8260 8.2296 90.00 90.00 111.19
Last column: nearest neighbours and their distance in Å.
Sites, in units of the cell vectors:
1 W 0.0000 0.0000 0.9840  2 Co 2.45, 2 W 2.69
2 W 0.5000 0.5000 0.2469  6 W 2.69-2.83, 2 Cl 2.70
3 Cl 0.0000 0.0000 0.5114  2 Co 2.58, 2 W 2.70, 4 Cl 2.83
4 Co 0.5000 0.5000 0.7577  2 W 2.45, 2 Cl 2.58

---

# 4
Entry from the Alexandria database: crystalline BaMg2Hg9 at its relaxed geometry (GGA-PBE).

Summary:
Total DFT energy (no corrections)   -0.87 eV per atom
ρ   10807 kg/m3
Formation energy   -0.22 eV per atom

Lattice parameters (Å, degrees): 7.9707 9.6258 9.6259 80.13 65.54 65.54
Last column: nearest neighbours and their distance in Å.
Sites, in units of the cell vectors:
1 Hg 0.0000 0.0000 0.0000  4 Mg 3.25, 8 Hg 3.28
2 Hg 0.6009 0.0737 0.3168  2 Mg 2.96-3.10, 6 Hg 3.01-3.29
3 Hg 0.6677 0.5737 0.1832  2 Mg 2.96-3.10, 6 Hg 3.01-3.29
4 Hg 0.0823 0.3168 0.9263  2 Mg 2.96-3.10, 6 Hg 3.01-3.29
5 Hg 0.3254 0.6832 0.0737  2 Mg 2.96-3.10, 6 Hg 3.01-3.29
6 Hg 0.0823 0.9263 0.3168  2 Mg 2.96-3.10, 6 Hg 3.01-3.29
7 Hg 0.9914 0.9263 0.6832  2 Mg 2.96-3.10, 6 Hg 3.01-3.29
8 Hg 0.7586 0.5737 0.8168  2 Mg 2.96-3.10, 6 Hg 3.01-3.29
9 Ba 0.5000 0.0000 0.0000  18 Hg 3.70-4.08
10 Hg 0.4246 0.8168 0.4263  2 Mg 2.96-3.10, 6 Hg 3.01-3.29
11 Mg 0.8750 0.7500 0.2500  10 Hg 2.96-3.25
12 Hg 0.7500 0.5000 0.5000  4 Mg 3.25, 8 Hg 3.28
13 Hg 0.6009 0.3168 0.0737  2 Mg 2.96-3.10, 6 Hg 3.01-3.29
14 Mg 0.8750 0.2500 0.7500  10 Hg 2.96-3.25
15 Hg 0.3254 0.0737 0.6832  2 Mg 2.96-3.10, 6 Hg 3.01-3.29
16 Hg 0.1491 0.1832 0.4263  2 Mg 2.96-3.10, 6 Hg 3.01-3.29
17 Hg 0.6677 0.1832 0.5737  2 Mg 2.96-3.10, 6 Hg 3.01-3.29
18 Hg 0.7586 0.8168 0.5737  2 Mg 2.96-3.10, 6 Hg 3.01-3.29
19 Hg 0.1491 0.4263 0.1832  2 Mg 2.96-3.10, 6 Hg 3.01-3.29
20 Ba 0.2500 0.5000 0.5000  18 Hg 3.70-4.08
21 Hg 0.4246 0.4263 0.8168  2 Mg 2.96-3.10, 6 Hg 3.01-3.29
22 Mg 0.8750 0.2500 0.2500  10 Hg 2.96-3.25
23 Hg 0.9914 0.6832 0.9263  2 Mg 2.96-3.10, 6 Hg 3.01-3.29
24 Mg 0.3750 0.7500 0.7500  10 Hg 2.96-3.25

---

# 5
Entry from the Alexandria database: crystalline Li2ZnAuO4 at its relaxed geometry (GGA-PBE).

Summary:
Uncorrected formation energy   -1.027 eV per atom
Total DFT energy (no corrections)   -4.55 eV per atom
ρ   6596 kg/m3

Lattice parameters (Å, degrees): 5.9833 5.9833 6.2829 117.21 117.21 90.23
Last column: nearest neighbours and their distance in Å.
Sites, in units of the cell vectors:
1 Li 0.5000 0.0000 0.5000  4 O 2.12-2.15
2 O 0.2902 0.2929 0.5585  1 Au 2.02, 3 Li 2.11-2.24, 1 Zn 2.13
3 O 0.2409 0.7170 0.4559  1 Au 2.03, 2 Li 2.12-2.23, 2 Zn 2.13-2.19
4 Li 0.0000 0.0000 0.5000  6 O 2.11-2.24
5 O 0.2071 0.2098 0.9415  1 Au 2.02, 3 Li 2.11-2.24, 1 Zn 2.13
6 Li 0.5000 0.5000 0.0000  6 O 2.11-2.24
7 O 0.7929 0.7902 0.0585  1 Au 2.02, 3 Li 2.11-2.24, 1 Zn 2.13
8 O 0.7098 0.7071 0.4415  1 Au 2.02, 3 Li 2.11-2.24, 1 Zn 2.13
9 O 0.7591 0.2830 0.5441  1 Au 2.03, 2 Li 2.12-2.23, 2 Zn 2.13-2.19
10 O 0.7830 0.2591 0.0441  1 Au 2.03, 2 Li 2.12-2.23, 2 Zn 2.13-2.19
11 Zn 0.0000 0.5000 0.0000  6 O 2.13-2.19
12 O 0.2170 0.7409 0.9559  1 Au 2.03, 2 Li 2.12-2.23, 2 Zn 2.13-2.19
13 Au 0.0000 0.0000 0.0000  4 O 2.02-2.03
14 Au 0.5000 0.5000 0.5000  4 O 2.02-2.03
15 Li 0.5000 0.0000 0.0000  4 O 2.12-2.15
16 Zn 0.0000 0.5000 0.5000  6 O 2.13-2.19

---

# 6
Entry from the Alexandria database: crystalline Co2ReTc at its relaxed geometry (GGA-PBE).

Summary:
Total DFT energy (no corrections)   -9.19 eV per atom
Energy relative to the lowest polymorph listed for this composition   12.3 kJ per mole of atoms
ρ   13203 kg/m3
Formation energy   0.07 eV per atom

Lattice parameters (Å, degrees): 4.4915 4.4915 4.5695 81.48 81.48 33.73
Last column: nearest neighbours and their distance in Å.
Sites, in units of the cell vectors:
1 Co 0.7512 0.7512 0.7488  4 Tc 2.54-2.72, 3 Re 2.55-2.57, 5 Co 2.58-2.64
2 Re 0.4960 0.4960 0.5226  7 Co 2.55-2.71, 2 Re 2.61, 3 Tc 2.65-2.74
3 Tc 0.2539 0.2539 0.2258  7 Co 2.54-2.72, 2 Tc 2.61, 3 Re 2.65-2.74
4 Co 0.9988 0.9988 0.0027  3 Tc 2.55-2.56, 4 Re 2.55-2.71, 5 Co 2.58-2.64

---

# 7
Entry from the Alexandria database: crystalline CoTcTe3 at its relaxed geometry (GGA-PBE).

Summary:
Uncorrected formation energy   1.044 eV per atom
Total DFT energy (no corrections)   -4.34 eV per atom
Energy relative to the lowest polymorph listed for this composition   9.0 kJ per mole of atoms
ρ   6336 kg/m3

Lattice parameters (Å, degrees): 5.2103 5.2103 5.2103 90.00 90.00 90.00
Last column: nearest neighbours and their distance in Å.
Sites, in units of the cell vectors:
1 Tc 0.0000 0.0000 0.0000  6 Te 2.61
2 Te 0.5000 0.0000 0.0000  2 Tc 2.61
3 Te 0.0000 0.0000 0.5000  2 Tc 2.61
4 Co 0.5000 0.5000 0.5000  12 Te 3.68
5 Te 0.0000 0.5000 0.0000  2 Tc 2.61

---

# 8
Entry from the Alexandria database: crystalline Sb4O5F2 at its relaxed geometry (GGA-PBE).

Summary:
Uncorrected formation energy   -1.580 eV per atom
Total DFT energy (no corrections)   -5.67 eV per atom
Energy relative to the lowest polymorph listed for this composition   0.0 kJ per mole of atoms
ρ   4587 kg/m3

Lattice parameters (Å, degrees): 5.3174 6.1271 13.5177 84.13 90.00 90.00
Last column: nearest neighbours and their distance in Å.
Sites, in units of the cell vectors:
1 O 0.0087 0.0733 0.0830  3 Sb 2.03-2.28
2 F 0.3148 0.4524 0.6412  1 Sb 2.06
3 Sb 0.9202 0.2341 0.2028  2 O 1.99-2.03, 1 F 2.06
4 Sb 0.7268 0.8201 0.5587  3 O 1.94-2.18
5 O 0.5087 0.9267 0.4170  3 Sb 2.03-2.28
6 O 0.3209 0.0919 0.7939  2 Sb 1.99-2.18
7 Sb 0.0798 0.7659 0.7972  2 O 1.99-2.03, 1 F 2.06
8 O 0.4913 0.0733 0.5830  3 Sb 2.03-2.28
9 Sb 0.4202 0.7659 0.2972  2 O 1.99-2.03, 1 F 2.06
10 O 0.1791 0.0919 0.2939  2 Sb 1.99-2.18
11 Sb 0.2732 0.1799 0.4413  3 O 1.94-2.18
12 O 0.5000 0.0000 0.0000  2 Sb 1.94
13 F 0.6852 0.5476 0.3588  1 Sb 2.06
14 O 0.6791 0.9081 0.2061  2 Sb 1.99-2.18
15 F 0.8148 0.5476 0.8588  1 Sb 2.06
16 O 0.0000 0.0000 0.5000  2 Sb 1.94
17 Sb 0.7732 0.8201 0.0587  3 O 1.94-2.18
18 O 0.9913 0.9267 0.9170  3 Sb 2.03-2.28
19 Sb 0.5798 0.2341 0.7028  2 O 1.99-2.03, 1 F 2.06
20 F 0.1852 0.4524 0.1412  1 Sb 2.06
21 Sb 0.2268 0.1799 0.9413  3 O 1.94-2.18
22 O 0.8209 0.9081 0.7061  2 Sb 1.99-2.18

---

# 9
Entry from the Alexandria database: crystalline Ce2CdSn at its relaxed geometry (GGA-PBE).

Summary:
Total DFT energy (no corrections)   -4.56 eV per atom
ρ   7946 kg/m3
Formation energy   -0.37 eV per atom

Lattice parameters (Å, degrees): 3.3882 3.3882 9.3093 90.00 90.00 90.00
Last column: nearest neighbours and their distance in Å.
Sites, in units of the cell vectors:
1 Sn 0.5000 0.5000 0.5000  8 Ce 3.32, 4 Sn 3.39
2 Ce 0.0000 0.0000 0.7474  4 Sn 3.32, 4 Cd 3.36, 4 Ce 3.39
3 Ce 0.0000 0.0000 0.2526  4 Sn 3.32, 4 Cd 3.36, 4 Ce 3.39
4 Cd 0.5000 0.5000 0.0000  8 Ce 3.36, 4 Cd 3.39

---

# 10
Entry from the Alexandria database: crystalline ThMgPdPt at its relaxed geometry (GGA-PBE).

Summary:
Total DFT energy (no corrections)   -5.99 eV per atom
ρ   11036 kg/m3
Formation energy   -0.93 eV per atom

Lattice parameters (Å, degrees): 4.5773 4.5670 5.3353 115.29 90.00 120.07
Last column: nearest neighbours and their distance in Å.
Sites, in units of the cell vectors:
1 Mg 0.1183 0.2367 0.9969  3 Pt 2.73-2.74, 3 Pd 2.75
2 Pt 0.8371 0.6742 0.1534  3 Mg 2.73-2.74, 3 Pd 3.04, 1 Th 3.06
3 Pd 0.3955 0.7910 0.8291  3 Mg 2.75, 3 Pt 3.04, 1 Th 3.06
4 Th 0.6153 0.2307 0.4879  4 Pd 3.06-3.08, 4 Pt 3.06-3.09

---

| no. | magnetization (μB/f.u.) |
| --- | --- |
| 1 | 0.00 |
| 2 | 2.59 |
| 3 | 0.89 |
| 4 | 0.00 |
| 5 | 0.75 |
| 6 | 0.00 |
| 7 | 1.88 |
| 8 | 0.00 |
| 9 | 1.63 |
| 10 | 0.00 |